i | The following is a DFT calculation (SCAN) of a crystal of Tc2MoCl relaxed with PBEsol.

Cell: 8.476 8.476 8.476 Å, 19.26 19.26 19.26°
Atoms (fractional coordinates):
Tc 0.248 0.248 0.248
Tc 0.752 0.752 0.752
Mo 0.000 0.000 0.000
Cl 0.500 0.500 0.500

Output
magnetic moment: 0.000 μB per formula unit
ρ: 9.4 g/cm³
symmetry: No. 166


ii | The following is a DFT calculation (SCAN) of a crystal of Tc2MoCl relaxed with PBEsol.

Cell: 2.820 3.958 5.354 Å, 90.00 104.57 90.00°
Atoms (fractional coordinates):
Tc 0.000 0.000 0.000
Tc 0.403 0.500 0.794
Mo 0.808 0.000 0.504
Cl 0.724 0.500 0.239

Output
magnetic moment: 0.000 μB per formula unit
ρ: 9.4 g/cm³
symmetry: No. 6


i ends up most stable, edging out the next structure by 11.9 kJ/mol of atoms.


i | The following is a DFT calculation (SCAN) of a crystal of Tl2MoCl relaxed with PBEsol.

Cell: 9.064 9.064 9.064 Å, 21.07 21.07 21.07°
Atoms (fractional coordinates):
Tl 0.247 0.247 0.247
Tl 0.753 0.753 0.753
Mo 0.500 0.500 0.500
Cl 0.000 0.000 0.000

Output
magnetic moment: 1.696 μB per formula unit
ρ: 10.6 g/cm³
symmetry: No. 166


ii | The following is a DFT calculation (SCAN) of a crystal of Tl2MoCl relaxed with PBEsol.

Cell: 5.157 2.985 5.801 Å, 90.00 90.41 90.00°
Atoms (fractional coordinates):
Tl 0.000 0.000 0.000
Tl 0.500 0.500 0.500
Mo 0.000 0.000 0.500
Cl 0.500 0.500 0.000

Output
magnetic moment: 1.415 μB per formula unit
ρ: 10.0 g/cm³
symmetry: No. 10


iii | The following is a DFT calculation (SCAN) of a crystal of Tl2MoCl relaxed with PBEsol.

Cell: 4.992 4.992 4.992 Å, 60.00 60.00 60.00°
Atoms (fractional coordinates):
Tl 0.000 0.000 0.000
Tl 0.250 0.250 0.250
Mo 0.500 0.500 0.500
Cl 0.750 0.750 0.750

Output
magnetic moment: 3.126 μB per formula unit
ρ: 10.2 g/cm³
symmetry: No. 216


ii ends up most stable, edging out the next structure by 4.1 kJ/mol of atoms.


i | The following is a DFT calculation (SCAN) of a crystal of MoW2Cl relaxed with PBEsol.

Cell: 5.008 5.008 4.523 Å, 91.51 91.51 34.13°
Atoms (fractional coordinates):
Mo 0.000 0.000 0.000
W 0.443 0.443 0.534
W 0.718 0.718 0.767
Cl 0.239 0.239 0.183

Output
magnetic moment: 0.000 μB per formula unit
ρ: 13.0 g/cm³
symmetry: No. 8


ii | The following is a DFT calculation (SCAN) of a crystal of MoW2Cl relaxed with PBEsol.

Cell: 3.003 3.893 6.526 Å, 90.00 90.00 90.00°
Atoms (fractional coordinates):
Mo 0.000 0.000 0.000
W 0.000 0.000 0.356
W 0.500 0.500 0.179
Cl 0.500 0.500 0.794

Output
magnetic moment: 0.000 μB per formula unit
ρ: 10.9 g/cm³
symmetry: No. 25


ii ends up most stable, edging out the next structure by 22.6 kJ/mol of atoms.


i | The following is a DFT calculation (SCAN) of a crystal of MoWCl2 relaxed with PBEsol.

Cell: 2.914 2.914 8.137 Å, 90.00 90.00 90.00°
Atoms (fractional coordinates):
Mo 0.000 0.000 0.000
W 0.500 0.500 0.229
Cl 0.000 0.000 0.425
Cl 0.500 0.500 0.809

Output
magnetic moment: 0.000 μB per formula unit
ρ: 8.4 g/cm³
symmetry: No. 99


ii | The following is a DFT calculation (SCAN) of a crystal of MoWCl2 relaxed with PBEsol.

Cell: 7.049 7.049 7.049 Å, 155.24 144.52 43.74°
Atoms (fractional coordinates):
Mo 0.000 0.000 0.000
W 0.500 0.500 0.000
Cl 0.349 0.849 0.500
Cl 0.651 0.151 0.500

Output
magnetic moment: 1.285 μB per formula unit
ρ: 6.9 g/cm³
symmetry: No. 71


i ends up most stable, edging out the next structure by 37.0 kJ/mol of atoms.


i | The following is a DFT calculation (SCAN) of a crystal of Mo2WCl relaxed with PBEsol.

Cell: 2.965 2.965 6.930 Å, 90.00 90.00 90.00°
Atoms (fractional coordinates):
Mo 0.000 0.000 0.000
Mo 0.500 0.500 0.237
W 0.000 0.000 0.482
Cl 0.500 0.500 0.743

Output
magnetic moment: 0.000 μB per formula unit
ρ: 11.2 g/cm³
symmetry: No. 99


ii | The following is a DFT calculation (SCAN) of a crystal of Mo2WCl relaxed with PBEsol.

Cell: 8.788 8.788 8.788 Å, 18.69 18.69 18.69°
Atoms (fractional coordinates):
Mo 0.247 0.247 0.247
Mo 0.753 0.753 0.753
W 0.000 0.000 0.000
Cl 0.500 0.500 0.500

Output
magnetic moment: 0.000 μB per formula unit
ρ: 11.2 g/cm³
symmetry: No. 166


ii ends up most stable, edging out the next structure by 11.6 kJ/mol of atoms.


i | The following is a DFT calculation (SCAN) of a crystal of ZrMoCl2 relaxed with PBEsol.

Cell: 4.430 4.430 4.430 Å, 60.00 60.00 60.00°
Atoms (fractional coordinates):
Zr 0.000 0.000 0.000
Mo 0.500 0.500 0.500
Cl 0.250 0.250 0.250
Cl 0.750 0.750 0.750

Output
magnetic moment: 2.994 μB per formula unit
ρ: 7.0 g/cm³
symmetry: No. 225


ii | The following is a DFT calculation (SCAN) of a crystal of ZrMoCl2 relaxed with PBEsol.

Cell: 8.763 8.763 8.763 Å, 20.01 20.01 20.01°
Atoms (fractional coordinates):
Zr 0.000 0.000 0.000
Mo 0.500 0.500 0.500
Cl 0.407 0.407 0.407
Cl 0.593 0.593 0.593

Output
magnetic moment: 0.000 μB per formula unit
ρ: 6.2 g/cm³
symmetry: No. 166


iii | The following is a DFT calculation (SCAN) of a crystal of ZrMoCl2 relaxed with PBEsol.

Cell: 6.421 6.421 4.463 Å, 95.03 95.03 28.57°
Atoms (fractional coordinates):
Zr 0.000 0.000 0.000
Mo 0.500 0.500 0.500
Cl 0.343 0.343 0.778
Cl 0.657 0.657 0.222

Output
magnetic moment: 0.787 μB per formula unit
ρ: 4.9 g/cm³
symmetry: No. 12


iv | The following is a DFT calculation (SCAN) of a crystal of ZrMoCl2 relaxed with PBEsol.

Cell: 3.853 3.192 7.056 Å, 90.00 105.31 90.00°
Atoms (fractional coordinates):
Zr 0.000 0.000 0.000
Mo 0.433 0.500 0.822
Cl 0.311 0.000 0.555
Cl 0.634 0.500 0.186

Output
magnetic moment: 0.000 μB per formula unit
ρ: 5.1 g/cm³
symmetry: No. 6


iv ends up most stable, edging out the next structure by 4.0 kJ/mol of atoms.